This record from Alexandria describes a geometry-optimized Sr2InCl structure. The functional is PBE.

a b c (Å): 4.2561 4.2561 9.2894
angles (deg): 76.76 76.76 60.00
Closest atoms and distances in Å follow each position.
Positions (direct):
Sr  0.0858  0.0858  0.7425  3 Cl 3.23, 3 In 3.36
Sr  0.2494  0.2494  0.2519  3 In 3.35, 3 Cl 3.36
In  0.6673  0.6673  0.9980  6 Sr 3.35-3.36
Cl  0.4974  0.4974  0.5077  6 Sr 3.23-3.36

Properties
The value obtained for the density of states at the Fermi level is 1.29 states/eV per cell. The volume is 35.1 Å³ per atom. Its energy above the most stable polymorph in this dataset is 0.44 eV/f.u. The calculation puts the formation energy without anion corrections at -1.001 eV per atom.


This record from Alexandria describes a geometry-optimized Sr2InCl structure. The functional is PBE.

a b c (Å): 9.0380 9.0380 9.0380
angles (deg): 154.67 153.34 37.10
Closest atoms and distances in Å follow each position.
Positions (direct):
Sr  0.6993  0.1993  0.5000  2 Cl 3.34, 4 In 3.39
Sr  0.9545  0.9545  0.0000  4 Cl 3.25, 2 In 3.32
Cl  0.5425  0.5425  0.0000  6 Sr 3.25-3.34
In  0.3037  0.8037  0.5000  6 Sr 3.32-3.39

Properties
The value obtained for the density of states at the Fermi level is 1.89 states/eV per cell. The volume is 35.4 Å³ per atom. Its energy above the most stable polymorph in this dataset is 0.66 eV/f.u. The calculation puts the formation energy without anion corrections at -0.946 eV per atom.


This record from Alexandria describes a geometry-optimized Sr2InCl structure. The functional is PBE.

a b c (Å): 5.8537 5.8537 5.8537
angles (deg): 60.00 60.00 60.00
Closest atoms and distances in Å follow each position.
Positions (direct):
In  0.7500  0.7500  0.7500  4 Cl 3.58, 4 Sr 3.58
Cl  0.5000  0.5000  0.5000  4 In 3.58, 4 Sr 3.58
Sr  0.0000  0.0000  0.0000  4 Sr 3.58, 4 In 3.58
Sr  0.2500  0.2500  0.2500  4 Cl 3.58, 4 Sr 3.58

Properties
The value obtained for the density of states at the Fermi level is 4.87 states/eV per cell. The volume is 35.5 Å³ per atom. Its energy above the most stable polymorph in this dataset is 3.28 eV/f.u. The calculation puts the formation energy without anion corrections at -0.291 eV per atom.


This record from Alexandria describes a geometry-optimized Sr2InCl structure. The functional is PBE.

a b c (Å): 4.3627 4.3627 8.8366
angles (deg): 75.68 75.68 60.00
Closest atoms and distances in Å follow each position.
Positions (direct):
Cl  0.7500  0.7500  0.7500  6 Sr 3.24
In  0.2500  0.2500  0.2500  6 Sr 3.34
Sr  0.4966  0.4966  0.5093  3 Cl 3.24, 3 In 3.34
Sr  0.0034  0.0034  0.9907  3 Cl 3.24, 3 In 3.34

Properties
The value obtained for the density of states at the Fermi level is 0.98 states/eV per cell. The volume is 34.9 Å³ per atom. Its energy above the most stable polymorph in this dataset is 0.29 eV/f.u. The calculation puts the formation energy without anion corrections at -1.040 eV per atom.


This record from Alexandria describes a geometry-optimized SrInCl6 structure. The functional is PBE.

a b c (Å): 7.1903 6.8993 7.0767
angles (deg): 57.85 62.73 57.35
Closest atoms and distances in Å follow each position.
Positions (direct):
Cl  0.3618  0.7742  0.7711  1 In 2.50
Cl  0.0449  0.4376  0.6926  1 Cl 2.67, 1 In 2.71
Cl  0.9551  0.5624  0.3074  1 Cl 2.67, 1 In 2.71
Cl  0.7744  0.0270  0.7991  1 In 2.49
Cl  0.6382  0.2258  0.2289  1 In 2.50
Cl  0.2256  0.9730  0.2009  1 In 2.49
Sr  0.5000  0.5000  0.5000  6 Cl 2.89-3.09
In  0.0000  0.0000  0.0000  6 Cl 2.49-2.71

Properties
The volume is 30.4 Å³ per atom. The calculation puts the formation energy without anion corrections at -1.325 eV per atom.


This record from Alexandria describes a geometry-optimized SrInCl2 structure. The functional is PBE.

a b c (Å): 5.4024 5.4024 5.4024
angles (deg): 60.00 60.00 60.00
Closest atoms and distances in Å follow each position.
Positions (direct):
In  0.5000  0.5000  0.5000  8 Cl 3.31
Sr  0.0000  0.0000  0.0000  8 Cl 3.31
Cl  0.7500  0.7500  0.7500  4 In 3.31, 4 Sr 3.31
Cl  0.2500  0.2500  0.2500  4 In 3.31, 4 Sr 3.31

Properties
The value obtained for the density of states at the Fermi level is 2.29 states/eV per cell. The volume is 27.9 Å³ per atom. Its energy above the most stable polymorph in this dataset is 1.18 eV/f.u. The calculation puts the formation energy without anion corrections at -1.241 eV per atom.


This record from Alexandria describes a geometry-optimized SrIn2Cl8 structure. The functional is PBE.

a b c (Å): 6.9804 8.0907 8.0907
angles (deg): 63.82 79.90 79.90
Closest atoms and distances in Å follow each position.
Positions (direct):
Sr  0.0000  0.0000  0.0000  6 Cl 2.93-2.97
In  0.6757  0.7958  0.7958  4 Cl 2.34-2.43
In  0.3243  0.2042  0.2042  4 Cl 2.34-2.43
Cl  0.2145  0.9005  0.3231  1 In 2.42
Cl  0.7855  0.6769  0.0995  1 In 2.42
Cl  0.7860  0.6231  0.6231  1 In 2.34
Cl  0.2145  0.3231  0.9005  1 In 2.42
Cl  0.6797  0.1759  0.1759  1 In 2.43
Cl  0.2140  0.3769  0.3769  1 In 2.34
Cl  0.7855  0.0995  0.6769  1 In 2.42
Cl  0.3203  0.8241  0.8241  1 In 2.43

Properties
The value obtained for the density of states at the Fermi level is 0.00 states/eV per cell. The volume is 36.5 Å³ per atom. The calculation puts the formation energy without anion corrections at -1.423 eV per atom.


This record from Alexandria describes a geometry-optimized SrInCl2 structure. The functional is PBE.

a b c (Å): 9.5046 9.5046 9.5046
angles (deg): 28.30 28.30 28.30
Closest atoms and distances in Å follow each position.
Positions (direct):
In  0.5000  0.5000  0.5000  6 Cl 3.23
Cl  0.1012  0.1012  0.1012  1 Sr 2.77
Cl  0.8988  0.8988  0.8988  1 Sr 2.77
Sr  0.0000  0.0000  0.0000  2 Cl 2.77

Properties
The value obtained for the density of states at the Fermi level is 1.04 states/eV per cell. The volume is 42.6 Å³ per atom. Its energy above the most stable polymorph in this dataset is 1.63 eV/f.u. The calculation puts the formation energy without anion corrections at -1.128 eV per atom.